This record from Alexandria describes Pa2TlBiO8 after structural relaxation. The functional is PBE.

Computed properties:
total DFT energy (no corrections): -189.55 eV per cell
crystal system: tetragonal

Lattice parameters (Å, degrees): 5.512 5.512 10.970 90.00 90.00 90.00
Space group I-4 (No. 82)
Symmetry-distinct sites (fractional):
Pa (0.000, 0.000, 0.000) [2 per cell]
Pa (0.000, 0.500, 0.250) [2 per cell]
Tl (0.000, 0.500, 0.750) [2 per cell]
Bi (0.000, 0.000, 0.500) [2 per cell]
O (0.203, 0.728, 0.110) [8 per cell]
O (0.233, 0.748, 0.859) [8 per cell]